A plane-wave DFT calculation with PBE was carried out for a relaxed structure of Al2Fe2Tc.

a b c (Å): 6.872 6.872 2.745
angles (deg): 90.00 90.00 90.00
Site moments in Bohr magnetons follow the coordinates.
Atoms (fractional coordinates):
Al 0.362 0.862 0.000  -0.04
Al 0.862 0.638 0.000  -0.03
Al 0.638 0.138 0.000  -0.04
Al 0.138 0.362 0.000  -0.03
Tc 0.000 0.000 0.000  0.15
Tc 0.500 0.500 0.000  0.15
Fe 0.159 0.659 0.500  1.71
Fe 0.659 0.841 0.500  1.71
Fe 0.841 0.341 0.500  1.71
Fe 0.341 0.159 0.500  1.71

Computed properties:
**DOS at the Fermi energy**: 1.392 states/eV per atom
**Raw total energy**: -7.0122 eV/atom
**Mass density**: 6755 kg/m³
**Total magnetic moment**: 0.6872 μB per atom
**Symmetry**: P4/mbm (127)

***

A plane-wave DFT calculation with PBE was carried out for a relaxed structure of AlFeTc2.

a b c (Å): 4.932 4.932 4.199
angles (deg): 64.77 64.77 36.43
Site moments in Bohr magnetons follow the coordinates.
Atoms (fractional coordinates):
Fe 0.750 0.750 0.750  2.11
Al 0.493 0.493 0.506  -0.01
Tc 0.004 0.004 0.995  -0.16
Tc 0.252 0.252 0.248  0.10

Computed properties:
**DOS at the Fermi energy**: 0.710 states/eV per atom
**Raw total energy**: -8.4218 eV/atom
**Mass density**: 8541 kg/m³
**Total magnetic moment**: 0.4978 μB per atom
**Symmetry**: Imm2 (44)

***

A plane-wave DFT calculation with PBE was carried out for a relaxed structure of AlFeTc2.

a b c (Å): 6.090 6.090 6.090
angles (deg): 46.60 154.49 141.68
Atoms (fractional coordinates):
Fe 0.000 0.500 0.500
Al 0.000 0.000 0.000
Tc 0.000 0.299 0.299
Tc 0.000 0.701 0.701

Computed properties:
**DOS at the Fermi energy**: 0.786 states/eV per atom
**Raw total energy**: -7.9564 eV/atom
**Mass density**: 7700 kg/m³
**Total magnetic moment**: 0.0002 μB per atom
**Symmetry**: Immm (71)

***

A plane-wave DFT calculation with PBE was carried out for a relaxed structure of AlFeTc2.

a b c (Å): 4.184 2.682 5.085
angles (deg): 75.91 90.00 90.00
Site moments in Bohr magnetons follow the coordinates.
Atoms (fractional coordinates):
Al 0.500 0.250 0.250  -0.01
Tc 0.000 0.951 0.000  -0.06
Tc 0.000 0.549 0.500  -0.06
Fe 0.500 0.750 0.750  2.21

Computed properties:
**DOS at the Fermi energy**: 0.755 states/eV per atom
**Raw total energy**: -8.2945 eV/atom
**Mass density**: 8365 kg/m³
**Total magnetic moment**: 0.5073 μB per atom
**Symmetry**: P2/m (10)

***

- Among the records above, which one has the highest total magnetic moment?
  Al2Fe2Tc

***

Please write out number 3 again, unchanged.
A plane-wave DFT calculation with PBE was carried out for a relaxed structure of AlFeTc2.

a b c (Å): 6.090 6.090 6.090
angles (deg): 46.60 154.49 141.68
Atoms (fractional coordinates):
Fe 0.000 0.500 0.500
Al 0.000 0.000 0.000
Tc 0.000 0.299 0.299
Tc 0.000 0.701 0.701

Computed properties:
**DOS at the Fermi energy**: 0.786 states/eV per atom
**Raw total energy**: -7.9564 eV/atom
**Mass density**: 7700 kg/m³
**Total magnetic moment**: 0.0002 μB per atom
**Symmetry**: Immm (71)

***

- raw total energy of number 3 (AlFeTc2)?
  -7.9564 eV/atom

***

- raw total energy of number 2 (AlFeTc2)?
  -8.4218 eV/atom